[1]
A plane-wave DFT calculation with GGA-PBE was carried out for Ce2TmTlC after structural relaxation.

Properties
symmetry	P4/mmm, No. 123
E_form	-0.31	eV per atom

a = 4.911 Å, b = 4.970 Å, c = 4.970 Å
α = 90.00°, β = 90.00°, γ = 90.00°
Positions (direct):
Ce: 0.000 0.500 0.000
Ce: 0.000 0.000 0.500
Tm: 0.500 0.000 0.000
Tl: 0.500 0.500 0.500
C: 0.000 0.000 0.000

---

[2]
A plane-wave DFT calculation with GGA-PBE was carried out for YCu2W after structural relaxation.

Properties
symmetry	P4/mmm, No. 123
E_form	0.37	eV per atom
E above lowest polymorph	0.0736	eV/atom

a = 4.648 Å, b = 4.647 Å, c = 3.091 Å
α = 90.00°, β = 90.00°, γ = 90.00°
Positions (direct):
Cu: 0.500 0.500 0.000
Cu: 0.000 0.000 0.000
W: 0.500 0.000 0.500
Y: 0.000 0.500 0.500

---

[3]
A plane-wave DFT calculation with GGA-PBE was carried out for RbMgZnBi2 after structural relaxation.

Properties
symmetry	I-4m2, No. 119
E_form	-0.24	eV per atom

a = 4.411 Å, b = 4.411 Å, c = 9.158 Å
α = 103.93°, β = 103.93°, γ = 90.00°
Positions (direct):
Bi: 0.638 0.638 0.277
Bi: 0.362 0.362 0.723
Zn: 0.750 0.250 0.500
Mg: 0.250 0.750 0.500
Rb: 0.000 0.000 0.000

---

[4]
A plane-wave DFT calculation with GGA-PBE was carried out for SrBi2OsO8 after structural relaxation.

Properties
symmetry	P2/m, No. 10
calculated total energy	-76.714	eV for the cell shown

a = 5.287 Å, b = 5.287 Å, c = 6.962 Å
α = 89.99°, β = 90.01°, γ = 87.21°
Positions (direct):
Os: 0.000 0.000 0.000
O: 0.676 0.678 0.500
O: 0.820 0.183 0.803
O: 0.758 0.761 0.000
O: 0.180 0.817 0.803
O: 0.180 0.817 0.197
O: 0.820 0.183 0.197
O: 0.242 0.239 0.000
O: 0.324 0.322 0.500
Bi: 0.500 0.500 0.253
Bi: 0.500 0.500 0.747
Sr: 0.000 0.000 0.500

---

[5]
A plane-wave DFT calculation with GGA-PBE was carried out for Al3InSe after structural relaxation.

Properties
symmetry	Pm-3m, No. 221
E above lowest polymorph	0.0000	eV/atom

a = 4.999 Å, b = 4.999 Å, c = 4.999 Å
α = 90.00°, β = 90.00°, γ = 90.00°
Positions (direct):
Al: 0.500 0.000 0.000
Al: 0.000 0.000 0.500
Al: 0.000 0.500 0.000
Se: 0.000 0.000 0.000
In: 0.500 0.500 0.500

---

[6]
A plane-wave DFT calculation with GGA-PBE was carried out for PrScTlPb after structural relaxation.

Properties
symmetry	F-43m, No. 216
E_form	-0.32	eV per atom

a = 5.392 Å, b = 5.392 Å, c = 5.392 Å
α = 60.00°, β = 60.00°, γ = 60.00°
Positions (direct):
Sc: 0.000 0.000 0.000
Pb: 0.250 0.250 0.250
Pr: 0.500 0.500 0.500
Tl: 0.750 0.750 0.750

---

Number 3 is which compound? RbMgZnBi2